No. 1
Density functional theory data (PBE) for a relaxed NaPd2O4 crystal.

a = 6.3940 Å, b = 6.3940 Å, c = 5.2869 Å
α = 113.48°, β = 113.48°, γ = 29.32°
Atoms (fractional coordinates):
Na: 0.0000 0.0000 0.0000
Pd: 0.2561 0.2561 0.2577
Pd: 0.7439 0.7439 0.7423
O: 0.1578 0.1578 0.4855
O: 0.3409 0.3409 0.9949
O: 0.6591 0.6591 0.0051
O: 0.8422 0.8422 0.5145

Properties
- density of states at the Fermi level (states/eV per cell) = 4.079
- formation energy from raw total energies (kJ/mol of formula units) = -423
- energy above the lowest structure with this stoichiometry (meV per atom) = 43



No. 2
Density functional theory data (PBE) for a relaxed Na5PdO3 crystal.

a = 6.3696 Å, b = 6.3696 Å, c = 8.1421 Å
α = 107.45°, β = 107.45°, γ = 74.15°
Atoms (fractional coordinates):
Na: 0.0605 0.0605 0.3639
Na: 0.1216 0.5168 0.3370
Na: 0.1985 0.8015 0.0000
Na: 0.2742 0.2742 0.9723
Na: 0.4832 0.8784 0.6630
Na: 0.5168 0.1216 0.3370
Na: 0.7258 0.7258 0.0277
Na: 0.8015 0.1985 0.0000
Na: 0.8784 0.4832 0.6630
Na: 0.9395 0.9395 0.6361
Pd: 0.4024 0.4024 0.6867
Pd: 0.5976 0.5976 0.3133
O: 0.1643 0.1643 0.1627
O: 0.1835 0.1835 0.6720
O: 0.5000 0.5000 0.0000
O: 0.5000 0.5000 0.5000
O: 0.8165 0.8165 0.3280
O: 0.8357 0.8357 0.8373

Properties
- density of states at the Fermi level (states/eV per cell) = 4.092
- formation energy from raw total energies (kJ/mol of formula units) = -831



No. 3
Density functional theory data (PBE) for a relaxed Na3PdO3 crystal.

a = 6.1855 Å, b = 6.1855 Å, c = 6.1240 Å
α = 99.82°, β = 99.82°, γ = 102.13°
Atoms (fractional coordinates):
Na: 0.1726 0.8274 0.0000
Na: 0.2240 0.7760 0.5000
Na: 0.3595 0.3595 0.0856
Na: 0.6405 0.6405 0.9144
Na: 0.7760 0.2240 0.5000
Na: 0.8274 0.1726 0.0000
Pd: 0.2810 0.2810 0.5579
Pd: 0.7190 0.7190 0.4421
O: 0.1261 0.1261 0.2547
O: 0.2241 0.5236 0.7636
O: 0.4764 0.7759 0.2364
O: 0.5236 0.2241 0.7636
O: 0.7759 0.4764 0.2364
O: 0.8739 0.8739 0.7453

Properties
- density of states at the Fermi level (states/eV per cell) = 1.770
- formation energy from raw total energies (kJ/mol of formula units) = -606



No. 4
Density functional theory data (PBE) for a relaxed Na4Pd3O8 crystal.

a = 6.7898 Å, b = 6.7898 Å, c = 6.7898 Å
α = 54.56°, β = 54.56°, γ = 54.56°
Atoms (fractional coordinates):
Na: 0.0000 0.0000 0.0000
Na: 0.1461 0.1461 0.1461
Na: 0.5000 0.5000 0.5000
Na: 0.8539 0.8539 0.8539
Pd: 0.0000 0.5000 0.5000
Pd: 0.5000 0.0000 0.5000
Pd: 0.5000 0.5000 0.0000
O: 0.2464 0.2464 0.7043
O: 0.2464 0.7043 0.2464
O: 0.2766 0.2766 0.2766
O: 0.2957 0.7536 0.7536
O: 0.7043 0.2464 0.2464
O: 0.7234 0.7234 0.7234
O: 0.7536 0.2957 0.7536
O: 0.7536 0.7536 0.2957

Properties
- formation energy from raw total energies (kJ/mol of formula units) = -1303



No. 5
Density functional theory data (PBE) for a relaxed NaPdO crystal.

a = 5.9507 Å, b = 5.9507 Å, c = 5.9507 Å
α = 150.00°, β = 150.00°, γ = 42.94°
Atoms (fractional coordinates):
Na: 0.0000 0.0000 0.0000
Pd: 0.2855 0.2855 0.0000
O: 0.4589 0.4589 0.0000

Properties
- density of states at the Fermi level (states/eV per cell) = 2.996
- formation energy from raw total energies (kJ/mol of formula units) = -75
- energy above the lowest structure with this stoichiometry (meV per atom) = 136



No. 6
Density functional theory data (PBE) for a relaxed NaPd2O4 crystal.

a = 6.3648 Å, b = 6.3648 Å, c = 6.3648 Å
α = 119.32°, β = 119.32°, γ = 91.18°
Atoms (fractional coordinates):
Na: 0.3750 0.6250 0.7500
Na: 0.6250 0.3750 0.2500
Pd: 0.0000 0.0000 0.0000
Pd: 0.0000 0.0000 0.5000
Pd: 0.0000 0.5000 0.0000
Pd: 0.5000 0.0000 0.5000
O: 0.1894 0.2316 0.9578
O: 0.2262 0.7684 0.4578
O: 0.2316 0.1894 0.4578
O: 0.2316 0.7738 0.0422
O: 0.7684 0.2262 0.9578
O: 0.7684 0.8106 0.5422
O: 0.7738 0.2316 0.5422
O: 0.8106 0.7684 0.0422

Properties
- density of states at the Fermi level (states/eV per cell) = 9.983
- formation energy from raw total energies (kJ/mol of formula units) = -452
- energy above the lowest structure with this stoichiometry (meV per atom) = 0



No. 7
Density functional theory data (PBE) for a relaxed Na3Pm3PdO8 crystal.

a = 6.8441 Å, b = 6.8441 Å, c = 6.8441 Å
α = 60.73°, β = 60.73°, γ = 60.73°
Atoms (fractional coordinates):
Na: 0.0000 0.5000 0.5000
Na: 0.5000 0.0000 0.5000
Na: 0.5000 0.5000 0.0000
Pm: 0.0000 0.0000 0.5000
Pm: 0.0000 0.5000 0.0000
Pm: 0.5000 0.0000 0.0000
Pd: 0.5000 0.5000 0.5000
O: 0.2383 0.2383 0.2383
O: 0.2693 0.7172 0.7172
O: 0.2828 0.2828 0.7307
O: 0.2828 0.7307 0.2828
O: 0.7172 0.2693 0.7172
O: 0.7172 0.7172 0.2693
O: 0.7307 0.2828 0.2828
O: 0.7617 0.7617 0.7617

Properties
- formation energy from raw total energies (kJ/mol of formula units) = -3172



No. 8
Density functional theory data (PBE) for a relaxed Na4PmPd3O8 crystal.

a = 6.9525 Å, b = 6.9525 Å, c = 6.4445 Å
α = 116.92°, β = 116.92°, γ = 53.34°
Atoms (fractional coordinates):
Na: 0.0000 0.0000 0.0000
Na: 0.0000 0.5000 0.5000
Na: 0.5000 0.0000 0.5000
Na: 0.5000 0.5000 0.0000
Pm: 0.0000 0.0000 0.5000
Pd: 0.0000 0.5000 0.0000
Pd: 0.5000 0.0000 0.0000
Pd: 0.5000 0.5000 0.5000
O: 0.2262 0.2262 0.7776
O: 0.2377 0.6932 0.6954
O: 0.3068 0.7623 0.3046
O: 0.3075 0.3075 0.2496
O: 0.6925 0.6925 0.7504
O: 0.6932 0.2377 0.6954
O: 0.7623 0.3068 0.3046
O: 0.7738 0.7738 0.2224

Properties
- density of states at the Fermi level (states/eV per cell) = 12.210
- formation energy from raw total energies (kJ/mol of formula units) = -1950



No. 9
Density functional theory data (PBE) for a relaxed Na2Pm2PdO6 crystal.

a = 5.9393 Å, b = 5.9393 Å, c = 5.8811 Å
α = 96.46°, β = 96.46°, γ = 120.37°
Atoms (fractional coordinates):
Na: 0.1347 0.8653 0.0000
Na: 0.8653 0.1347 0.0000
Pm: 0.3375 0.6625 0.5000
Pm: 0.6625 0.3375 0.5000
Pd: 0.0000 0.0000 0.5000
O: 0.0340 0.3418 0.6919
O: 0.2442 0.2442 0.2956
O: 0.3418 0.0340 0.6919
O: 0.6582 0.9660 0.3081
O: 0.7558 0.7558 0.7044
O: 0.9660 0.6582 0.3081

Properties
- density of states at the Fermi level (states/eV per cell) = 0.000
- formation energy from raw total energies (kJ/mol of formula units) = -2124



No. 10
Density functional theory data (PBE) for a relaxed Na3Pm2PdO6 crystal.

a = 5.9114 Å, b = 5.9114 Å, c = 5.9333 Å
α = 99.05°, β = 99.05°, γ = 120.11°
Atoms (fractional coordinates):
Na: 0.0000 0.0000 0.0000
Na: 0.3449 0.6551 0.0000
Na: 0.6551 0.3449 0.0000
Pm: 0.1703 0.8297 0.5000
Pm: 0.8297 0.1703 0.5000
Pd: 0.5000 0.5000 0.5000
O: 0.0970 0.4232 0.2710
O: 0.2649 0.2649 0.7026
O: 0.4232 0.0970 0.2710
O: 0.5768 0.9030 0.7290
O: 0.7351 0.7351 0.2974
O: 0.9030 0.5768 0.7290

Properties
- density of states at the Fermi level (states/eV per cell) = 0.082
- formation energy from raw total energies (kJ/mol of formula units) = -2309



No. 11
Density functional theory data (PBE) for a relaxed Na4Pm3PdO8 crystal.

a = 6.9624 Å, b = 6.9624 Å, c = 6.8486 Å
α = 119.45°, β = 119.45°, γ = 58.86°
Atoms (fractional coordinates):
Na: 0.0000 0.0000 0.0000
Na: 0.0000 0.5000 0.5000
Na: 0.5000 0.0000 0.5000
Na: 0.5000 0.5000 0.0000
Pm: 0.0000 0.0000 0.5000
Pm: 0.0000 0.5000 0.0000
Pm: 0.5000 0.0000 0.0000
Pd: 0.5000 0.5000 0.5000
O: 0.2338 0.2338 0.7519
O: 0.2350 0.2350 0.2197
O: 0.2613 0.7163 0.2721
O: 0.2837 0.7387 0.7279
O: 0.7163 0.2613 0.2721
O: 0.7387 0.2837 0.7279
O: 0.7650 0.7650 0.7803
O: 0.7662 0.7662 0.2481

Properties
- density of states at the Fermi level (states/eV per cell) = 1.296
- formation energy from raw total energies (kJ/mol of formula units) = -3318



No. 12
Density functional theory data (PBE) for a relaxed NaPm2PdO4 crystal.

a = 6.6210 Å, b = 6.6210 Å, c = 6.6210 Å
α = 139.15°, β = 139.15°, γ = 59.15°
Atoms (fractional coordinates):
Na: 0.0000 0.0000 0.0000
Pm: 0.5000 0.5000 0.0000
Pm: 0.7500 0.2500 0.5000
Pd: 0.2500 0.7500 0.5000
O: 0.2822 0.2822 0.0000
O: 0.5442 0.0442 0.5000
O: 0.7178 0.7178 0.0000
O: 0.9558 0.4558 0.5000

Properties
- density of states at the Fermi level (states/eV per cell) = 1.576
- formation energy from raw total energies (kJ/mol of formula units) = -1804